Entry 1
ZnInTeN2: relaxed, PBE-GGA.

POSCAR file:
```
ZnInTeN2
1.0
4.233 0.000 0.000
0.000 4.233 0.000
0.000 0.000 6.386
Zn N In Te
1 2 1 1
Direct
0.500 0.500 0.500
0.000 0.500 0.000
0.500 0.000 0.000
0.000 0.000 0.000
0.000 0.000 0.500
```

**ρ**: 4.87 g cm⁻³
**Crystal system**: tetragonal



Entry 2
ZnInTeN2: relaxed, PBE-GGA.

POSCAR file:
```
ZnInTeN2
1.0
-1.921 2.903 2.239
-3.655 -1.712 -0.916
0.385 -3.258 4.556
In N Te Zn
1 2 1 1
Direct
0.500 0.500 0.500
0.000 0.500 0.000
0.500 0.000 0.000
0.000 0.000 0.500
0.000 0.000 0.000
```

**ρ**: 5.80 g cm⁻³
**Crystal system**: tetragonal



The structure with the most favorable energy is entry 2; the runner-up is 0.6 kJ/mol of atoms above it.